Density functional theory data (PBE) for crystalline MgRuSe2 at its relaxed geometry.

E: -16.35 eV/f.u.
E_form (uncorrected): 0.37 eV/atom

Lattice parameters (Å, degrees): 4.641 4.641 4.641 60.00 60.00 60.00
Fractional coordinates of all 4 atoms:
1 Mg 0.500 0.500 0.500
2 Ru 0.750 0.750 0.750
3 Se 0.000 0.000 0.000
4 Se 0.250 0.250 0.250